{
  "formula": "MgTl4Ni4O12",
  "functional": "PBE+U",
  "state": "optimized geometry",
  "lattice_angstrom": [[5.4732, 0.0000, 0.0000], [0.4397, 5.5346, 0.0000], [0.8989, 0.8548, 8.5095]],
  "species": ["Mg", "Tl", "Tl", "Tl", "Tl", "Ni", "Ni", "Ni", "Ni", "O", "O", "O", "O", "O", "O", "O", "O", "O", "O", "O", "O"],
  "frac_coords": [[0.0000, 0.0000, 0.0000], [0.1399, 0.1098, 0.6277], [0.1611, 0.2826, 0.2248], [0.6244, 0.5829, 0.0740], [0.6760, 0.6046, 0.6347], [0.1390, 0.5940, 0.8705], [0.1781, 0.6990, 0.4217], [0.5889, 0.1030, 0.8553], [0.6544, 0.1670, 0.4015], [0.0035, 0.6451, 0.1013], [0.2782, 0.6980, 0.6490], [0.3483, 0.8828, 0.9427], [0.3542, 0.9861, 0.3660], [0.3899, 0.3552, 0.9581], [0.4425, 0.4921, 0.3211], [0.5277, 0.2158, 0.6312], [0.8083, 0.1658, 0.1727], [0.8179, 0.8170, 0.8367], [0.8903, 0.8983, 0.4885], [0.9138, 0.2901, 0.8287], [0.9724, 0.4229, 0.4646]],
  "total_energy_ev_per_atom": -4.65,
  "total_magnetization_mub_per_fu": 6.0,
  "dos_at_fermi_per_ev_fu": 2.0,
  "spacegroup": "P1, No. 1",
  "relative_energy_mev_per_atom": 9
}